Record 1
Compound: Tb3YHg
Source: Alexandria via LeMat-Bulk
Functional: PBE
Structure: relaxed

Summary:
- SG: C2/m
- E_tot: -4.250 eV/atom
- ΔE_f: -119 meV/atom

Structure (POSCAR):
```
Tb3YHg
1.0
5.606 -3.710 0.000
5.606 3.710 0.000
-2.798 0.000 7.405
Tb Y Hg
6 2 2
direct
0.060 0.060 0.240 Tb
0.089 0.590 0.358 Tb
0.410 0.911 0.642 Tb
0.590 0.089 0.358 Tb
0.911 0.410 0.642 Tb
0.940 0.940 0.760 Tb
0.440 0.440 0.759 Y
0.560 0.560 0.241 Y
0.251 0.251 0.000 Hg
0.749 0.749 0.000 Hg
```

=====

Record 2
Compound: Sr4LiCa
Source: Alexandria via LeMat-Bulk
Functional: PBE
Structure: relaxed

Summary:
- SG: C2/c
- E_tot: -1.721 eV/atom
- ΔE_f: 52 meV/atom

Structure (POSCAR):
```
Sr4LiCa
1.0
5.352 -8.029 0.000
5.352 8.029 0.000
-2.368 0.000 6.711
Sr Li Ca
8 2 2
direct
0.071 0.712 0.943 Sr
0.193 0.379 0.636 Sr
0.288 0.929 0.557 Sr
0.379 0.193 0.136 Sr
0.621 0.807 0.864 Sr
0.712 0.071 0.443 Sr
0.807 0.621 0.364 Sr
0.929 0.288 0.057 Sr
0.002 0.998 0.250 Li
0.998 0.002 0.750 Li
0.392 0.608 0.250 Ca
0.608 0.392 0.750 Ca
```

=====

Record 3
Compound: Y3TiAg3Se8
Source: Alexandria via LeMat-Bulk
Functional: PBE
Structure: relaxed

Summary:
- SG: C2/m
- Uncorrected formation energy: -1.123 eV/atom
- E_tot: -5.371 eV/atom

Structure (POSCAR):
```
Y3TiAg3Se8
1.0
7.032 -4.059 0.000
7.032 4.059 0.000
-4.714 0.000 6.676
Y Ti Ag Se
3 1 3 8
direct
0.000 0.000 0.000 Y
0.000 0.500 0.000 Y
0.500 0.000 0.000 Y
0.500 0.500 0.000 Ti
0.000 0.500 0.500 Ag
0.500 0.000 0.500 Ag
0.500 0.500 0.500 Ag
0.250 0.250 0.248 Se
0.270 0.729 0.227 Se
0.271 0.271 0.773 Se
0.271 0.730 0.773 Se
0.729 0.270 0.227 Se
0.729 0.729 0.227 Se
0.730 0.271 0.773 Se
0.750 0.750 0.752 Se
```

=====

Record 4
Compound: TaTiNb2
Source: Alexandria via LeMat-Bulk
Functional: PBE
Structure: relaxed

Summary:
- SG: P4/mmm
- E_tot: -9.951 eV/atom
- ΔE_f: 20 meV/atom

Structure (POSCAR):
```
TaTiNb2
1.0
4.669 0.000 0.000
0.000 4.669 0.000
0.000 0.000 3.285
Ta Ti Nb
1 1 2
direct
0.000 0.000 0.000 Ta
0.500 0.500 0.000 Ti
0.000 0.500 0.500 Nb
0.500 0.000 0.500 Nb
```

=====

Record 5
Compound: EuDy2Ga
Source: Alexandria via LeMat-Bulk
Functional: PBE
Structure: relaxed

Summary:
- SG: R-3m
- E_tot: -5.789 eV/atom
- ΔE_f: -163 meV/atom

Structure (POSCAR):
```
EuDy2Ga
1.0
1.827 1.055 10.527
-1.827 1.055 10.527
0.000 -2.110 10.527
Eu Dy Ga
1 2 1
direct
0.000 0.000 0.000 Eu
0.234 0.234 0.234 Dy
0.766 0.766 0.766 Dy
0.500 0.500 0.500 Ga
```

=====

Record 6
Compound: Na3AgPd
Source: Alexandria via LeMat-Bulk
Functional: PBE
Structure: relaxed

Summary:
- SG: Pm-3m
- E_tot: -1.994 eV/atom
- ΔE_f: 406 meV/atom

Structure (POSCAR):
```
Na3AgPd
1.0
5.404 0.000 0.000
0.000 5.404 0.000
0.000 0.000 5.404
Na Ag Pd
3 1 1
direct
0.000 0.000 0.500 Na
0.000 0.500 0.000 Na
0.500 0.000 0.000 Na
0.000 0.000 0.000 Ag
0.500 0.500 0.500 Pd
```

=====

Record 7
Compound: CeHoC2
Source: Alexandria via LeMat-Bulk
Functional: PBE
Structure: relaxed

Summary:
- SG: R3m
- E_tot: -7.144 eV/atom
- ΔE_f: 96 meV/atom

Structure (POSCAR):
```
CeHoC2
1.0
1.797 1.038 5.956
-1.797 1.038 5.956
0.000 -2.075 5.956
Ce Ho C
1 1 2
direct
0.000 0.000 0.000 Ce
0.831 0.831 0.831 Ho
0.418 0.418 0.418 C
0.589 0.589 0.589 C
```

=====

Record 8
Compound: HfPbC3
Source: Alexandria via LeMat-Bulk
Functional: PBE
Structure: relaxed

Summary:
- SG: Pm-3m
- E_tot: -5.388 eV/atom
- ΔE_f: 2878 meV/atom

Structure (POSCAR):
```
HfPbC3
1.0
4.277 0.000 0.000
0.000 4.277 0.000
0.000 0.000 4.277
Hf Pb C
1 1 3
direct
0.000 0.000 0.000 Hf
0.500 0.500 0.500 Pb
0.000 0.500 0.500 C
0.500 0.000 0.500 C
0.500 0.500 0.000 C
```

=====

Record 9
Compound: Zr2RhPbI
Source: Alexandria via LeMat-Bulk
Functional: PBE
Structure: relaxed

Summary:
- SG: P4/mmm
- Uncorrected formation energy: 0.237 eV/atom
- E_tot: -5.704 eV/atom

Structure (POSCAR):
```
Zr2RhPbI
1.0
5.207 0.000 0.000
0.000 5.207 0.000
0.000 0.000 5.098
Zr Rh Pb I
2 1 1 1
direct
0.000 0.500 0.000 Zr
0.500 0.000 0.000 Zr
0.000 0.000 0.000 Rh
0.000 0.000 0.500 Pb
0.500 0.500 0.500 I
```

=====

Record 10
Compound: PuCl4F
Source: Alexandria via LeMat-Bulk
Functional: PBE
Structure: relaxed

Summary:
- SG: I4/m
- Uncorrected formation energy: -1.751 eV/atom
- E_tot: -5.683 eV/atom

Structure (POSCAR):
```
PuCl4F
1.0
-4.728 4.728 2.236
4.728 -4.728 2.236
4.728 4.728 -2.236
Pu Cl F
1 4 1
direct
0.000 0.000 0.000 Pu
0.060 0.254 0.315 Cl
0.254 0.940 0.194 Cl
0.746 0.060 0.806 Cl
0.940 0.746 0.685 Cl
0.500 0.500 0.000 F
```

=====

Record 11
Compound: BeNiSe
Source: Alexandria via LeMat-Bulk
Functional: PBE
Structure: relaxed

Summary:
- SG: P4/nmm
- Uncorrected formation energy: 0.347 eV/atom
- E_tot: -3.984 eV/atom

Structure (POSCAR):
```
BeNiSe
1.0
4.612 0.000 0.000
0.000 4.612 0.000
0.000 0.000 4.328
Be Ni Se
2 2 2
direct
0.250 0.250 0.157 Be
0.750 0.750 0.843 Be
0.250 0.250 0.666 Ni
0.750 0.750 0.334 Ni
0.250 0.750 0.500 Se
0.750 0.250 0.500 Se
```